[1]
A relaxed structure of AcTbMgBi, computed with PBE.

```
AcTbMgBi
1.0
8.022 0.000 0.000
0.000 8.022 0.000
0.000 0.000 8.022
Ac Tb Mg Bi
4 4 4 4
Direct
0.000 0.000 0.000
0.000 0.500 0.500
0.500 0.000 0.500
0.500 0.500 0.000
0.000 0.000 0.500
0.000 0.500 0.000
0.500 0.000 0.000
0.500 0.500 0.500
0.250 0.250 0.250
0.250 0.750 0.750
0.750 0.250 0.750
0.750 0.750 0.250
0.250 0.250 0.750
0.250 0.750 0.250
0.750 0.250 0.250
0.750 0.750 0.750
```



[2]
A relaxed structure of AcMgZnBi, computed with PBE.

```
AcMgZnBi
1.0
7.742 0.000 0.000
0.000 7.742 0.000
0.000 0.000 7.742
Ac Mg Zn Bi
4 4 4 4
Direct
0.000 0.000 0.000
0.000 0.500 0.500
0.500 0.000 0.500
0.500 0.500 0.000
0.000 0.000 0.500
0.000 0.500 0.000
0.500 0.000 0.000
0.500 0.500 0.500
0.250 0.250 0.250
0.250 0.750 0.750
0.750 0.250 0.750
0.750 0.750 0.250
0.250 0.250 0.750
0.250 0.750 0.250
0.750 0.250 0.250
0.750 0.750 0.750
```



[3]
A relaxed structure of Ac2MnBi, computed with PBE.

```
Ac2MnBi
1.0
5.619 0.000 0.000
0.000 5.619 0.000
0.000 0.000 4.265
Ac Mn Bi
2 1 1
Direct
0.000 0.500 0.000
0.500 0.000 0.000
0.000 0.000 0.500
0.500 0.500 0.500
```



[4]
A relaxed structure of Ac2MnBi, computed with PBE.

```
Ac2MnBi
1.0
3.704 0.000 0.000
-1.852 3.208 0.000
0.000 0.000 36.267
Ac Mn Bi
6 3 3
Direct
0.000 0.000 0.086
0.000 0.000 0.914
0.333 0.667 0.580
0.333 0.667 0.753
0.667 0.333 0.247
0.667 0.333 0.420
0.000 0.000 0.000
0.333 0.667 0.667
0.667 0.333 0.333
0.000 0.000 0.500
0.333 0.667 0.167
0.667 0.333 0.833
```



[5]
A relaxed structure of Ac3MnBi, computed with PBE.

```
Ac3MnBi
1.0
5.537 0.000 0.000
0.000 5.537 0.000
0.000 0.000 5.537
Ac Mn Bi
3 1 1
Direct
0.000 0.000 0.500
0.000 0.500 0.000
0.500 0.000 0.000
0.000 0.000 0.000
0.500 0.500 0.500
```



Computed energy (eV/atom) in order:
-3.859 -2.972 -5.453 -4.839 -5.242